First-principles (PBE) data for a relaxed V5H12Pd3 crystal, as listed in Alexandria via LeMat-Bulk.

Results
For the total energy, the calculation gives -4.982 eV per atom.

a b c (Å): 10.8711 10.8711 10.8711
angles (deg): 90.00 90.00 90.00
With the nearest neighbours (Å) after each atom.
Space group Ia-3d (No. 230)
Asymmetric unit:
V1 0.0000 0.0000 0.0000 x16  6 H 1.78
V2 0.0000 0.2500 0.3750 x24  4 H 1.75
H1 0.0108 0.0578 0.6530 x96  2 V 1.75-1.78, 1 Pd 1.92
Pd1 0.0000 0.2500 0.1250 x24  8 H 1.92-2.11

---

First-principles (PBE) data for a relaxed VHPd3 crystal, as listed in Alexandria via LeMat-Bulk.

Results
The value obtained for the distance to the lowest polymorph of the same formula is 0.0 meV/atom.

a b c (Å): 3.9797 3.9797 3.9797
angles (deg): 90.00 90.00 90.00
With the nearest neighbours (Å) after each atom.
Space group Pm-3m (No. 221)
Asymmetric unit:
V1 0.0000 0.0000 0.0000 x1  12 Pd 2.81
H1 0.5000 0.5000 0.5000 x1  6 Pd 1.99
Pd1 0.0000 0.5000 0.5000 x3  2 H 1.99